Record 1
! SrNd2Au3 (PBE, relaxed); values from VASP
! M_tot: 0.000 μB per cell
! N(E_F): 4.8 states/eV/cell
! E_tot: -4.261 eV per atom
! SG: Cmmm, No. 65
&SYSTEM
  ibrav = 0, nat = 6, ntyp = 3
/
ATOMIC_SPECIES
Sr 87.62 Sr.upf
Nd 144.24 Nd.upf
Au 196.97 Au.upf
ATOMIC_POSITIONS crystal
Sr 0.000 0.000 0.000
Nd 0.337 0.663 0.000
Nd 0.663 0.337 0.000
Au 0.182 0.818 0.500
Au 0.500 0.500 0.500
Au 0.818 0.182 0.500
CELL_PARAMETERS angstrom
2.631 -8.037 0.000
2.631 8.037 0.000
0.000 0.000 3.761

=====

Record 2
! SrNdAu (PBE, relaxed); values from VASP
! M_tot: 0.000 μB per cell
! N(E_F): 3.5 states/eV/cell
! Distance to the lowest polymorph of the same formula: 124 meV/atom
! E_tot: -3.613 eV per atom
! SG: F-43m, No. 216
&SYSTEM
  ibrav = 0, nat = 3, ntyp = 3
/
ATOMIC_SPECIES
Sr 87.62 Sr.upf
Nd 144.24 Nd.upf
Au 196.97 Au.upf
ATOMIC_POSITIONS crystal
Sr 0.000 0.000 0.000
Nd 0.500 0.500 0.500
Au 0.750 0.750 0.750
CELL_PARAMETERS angstrom
0.000 3.709 3.709
3.709 0.000 3.709
3.709 3.709 0.000

=====

Record 3
! SrNdAu3 (PBE, relaxed); values from VASP
! M_tot: 0.000 μB per cell
! N(E_F): 4.9 states/eV/cell
! E_tot: -4.028 eV per atom
! SG: Cmcm, No. 63
&SYSTEM
  ibrav = 0, nat = 10, ntyp = 3
/
ATOMIC_SPECIES
Sr 87.62 Sr.upf
Nd 144.24 Nd.upf
Au 196.97 Au.upf
ATOMIC_POSITIONS crystal
Sr 0.073 0.927 0.750
Sr 0.927 0.073 0.250
Nd 0.204 0.796 0.250
Nd 0.796 0.204 0.750
Au 0.313 0.687 0.250
Au 0.377 0.623 0.750
Au 0.474 0.526 0.750
Au 0.526 0.474 0.250
Au 0.623 0.377 0.250
Au 0.687 0.313 0.750
CELL_PARAMETERS angstrom
1.986 -14.387 0.000
1.986 14.387 0.000
0.000 0.000 4.663

=====

Record 4
! SrNdAu (PBE, relaxed); values from VASP
! M_tot: 0.000 μB per cell
! N(E_F): 7.5 states/eV/cell
! Distance to the lowest polymorph of the same formula: 0 meV/atom
! E_tot: -3.738 eV per atom
! SG: P4/nmm, No. 129
&SYSTEM
  ibrav = 0, nat = 6, ntyp = 3
/
ATOMIC_SPECIES
Sr 87.62 Sr.upf
Nd 144.24 Nd.upf
Au 196.97 Au.upf
ATOMIC_POSITIONS crystal
Sr 0.250 0.250 0.123
Sr 0.750 0.750 0.877
Nd 0.250 0.750 0.500
Nd 0.750 0.250 0.500
Au 0.250 0.250 0.709
Au 0.750 0.750 0.291
CELL_PARAMETERS angstrom
5.136 0.000 0.000
0.000 5.136 0.000
0.000 0.000 7.791

=====

Record 5
! Sr2NdAu3 (PBE, relaxed); values from VASP
! M_tot: 0.000 μB per cell
! N(E_F): 8.7 states/eV/cell
! E_tot: -3.742 eV per atom
! SG: Cmmm, No. 65
&SYSTEM
  ibrav = 0, nat = 12, ntyp = 3
/
ATOMIC_SPECIES
Sr 87.62 Sr.upf
Nd 144.24 Nd.upf
Au 196.97 Au.upf
ATOMIC_POSITIONS crystal
Sr 0.000 0.000 0.000
Sr 0.000 0.000 0.500
Sr 0.333 0.667 0.000
Sr 0.667 0.333 0.000
Nd 0.336 0.664 0.500
Nd 0.664 0.336 0.500
Au 0.175 0.825 0.279
Au 0.175 0.825 0.721
Au 0.500 0.500 0.262
Au 0.500 0.500 0.738
Au 0.825 0.175 0.279
Au 0.825 0.175 0.721
CELL_PARAMETERS angstrom
2.682 -8.084 0.000
2.682 8.084 0.000
0.000 0.000 7.615

=====

Record 6
! SrNdZn2Au5 (PBE, relaxed); values from VASP
! M_tot: 0.000 μB per cell
! N(E_F): 3.2 states/eV/cell
! E_tot: -3.316 eV per atom
! SG: P4/mmm, No. 123
&SYSTEM
  ibrav = 0, nat = 9, ntyp = 4
/
ATOMIC_SPECIES
Sr 87.62 Sr.upf
Nd 144.24 Nd.upf
Zn 65.41 Zn.upf
Au 196.97 Au.upf
ATOMIC_POSITIONS crystal
Sr 0.000 0.000 0.000
Nd 0.000 0.000 0.500
Zn 0.500 0.500 0.369
Zn 0.500 0.500 0.631
Au 0.000 0.500 0.241
Au 0.000 0.500 0.759
Au 0.500 0.000 0.241
Au 0.500 0.000 0.759
Au 0.500 0.500 0.000
CELL_PARAMETERS angstrom
4.581 0.000 0.000
0.000 4.581 0.000
0.000 0.000 9.267

=====

Record 7
! TbNd3Au2 (PBE, relaxed); values from VASP
! M_tot: 0.000 μB per cell
! N(E_F): 12.3 states/eV/cell
! E_tot: -4.806 eV per atom
! SG: Pmc2_1, No. 26
&SYSTEM
  ibrav = 0, nat = 12, ntyp = 3
/
ATOMIC_SPECIES
Tb 158.93 Tb.upf
Nd 144.24 Nd.upf
Au 196.97 Au.upf
ATOMIC_POSITIONS crystal
Tb 0.000 0.074 0.000
Tb 0.000 0.926 0.500
Nd 0.000 0.334 0.645
Nd 0.000 0.666 0.145
Nd 0.500 0.163 0.341
Nd 0.500 0.425 0.985
Nd 0.500 0.575 0.485
Nd 0.500 0.837 0.841
Au 0.000 0.342 0.227
Au 0.000 0.658 0.727
Au 0.500 0.150 0.758
Au 0.500 0.850 0.258
CELL_PARAMETERS angstrom
5.112 0.000 0.000
0.000 9.302 0.000
0.000 0.000 7.219

=====

Record 8
! Tb3Nd2Au4 (PBE, relaxed); values from VASP
! M_tot: 0.000 μB per cell
! N(E_F): 19.1 states/eV/cell
! E_tot: -4.720 eV per atom
! SG: Cmce, No. 64
&SYSTEM
  ibrav = 0, nat = 18, ntyp = 3
/
ATOMIC_SPECIES
Tb 158.93 Tb.upf
Nd 144.24 Nd.upf
Au 196.97 Au.upf
ATOMIC_POSITIONS crystal
Tb 0.000 0.000 0.000
Tb 0.014 0.486 0.250
Tb 0.486 0.014 0.750
Tb 0.500 0.500 0.500
Tb 0.514 0.986 0.250
Tb 0.986 0.514 0.750
Nd 0.096 0.904 0.422
Nd 0.404 0.596 0.922
Nd 0.596 0.404 0.078
Nd 0.904 0.096 0.578
Au 0.168 0.832 0.031
Au 0.183 0.317 0.250
Au 0.317 0.183 0.750
Au 0.332 0.668 0.531
Au 0.668 0.332 0.469
Au 0.683 0.817 0.250
Au 0.817 0.683 0.750
Au 0.832 0.168 0.969
CELL_PARAMETERS angstrom
3.554 -8.915 0.000
3.554 8.915 0.000
0.000 0.000 7.587

=====

Record 9
! Tb2NdAu3 (PBE, relaxed); values from VASP
! M_tot: 0.000 μB per cell
! N(E_F): 2.7 states/eV/cell
! E_tot: -4.802 eV per atom
! SG: P4/mmm, No. 123
&SYSTEM
  ibrav = 0, nat = 6, ntyp = 3
/
ATOMIC_SPECIES
Tb 158.93 Tb.upf
Nd 144.24 Nd.upf
Au 196.97 Au.upf
ATOMIC_POSITIONS crystal
Tb 0.000 0.000 0.164
Tb 0.000 0.000 0.836
Nd 0.000 0.000 0.500
Au 0.500 0.500 0.000
Au 0.500 0.500 0.321
Au 0.500 0.500 0.679
CELL_PARAMETERS angstrom
3.625 0.000 0.000
0.000 3.625 0.000
0.000 0.000 11.076

=====

Record 10
! Tb3Nd2Au2 (PBE, relaxed); values from VASP
! M_tot: 0.000 μB per cell
! N(E_F): 8.4 states/eV/cell
! E_tot: -4.776 eV per atom
! SG: C2/m, No. 12
&SYSTEM
  ibrav = 0, nat = 7, ntyp = 3
/
ATOMIC_SPECIES
Tb 158.93 Tb.upf
Nd 144.24 Nd.upf
Au 196.97 Au.upf
ATOMIC_POSITIONS crystal
Tb 0.000 0.000 0.000
Tb 0.115 0.115 0.447
Tb 0.885 0.885 0.553
Nd 0.349 0.349 0.187
Nd 0.651 0.651 0.813
Au 0.335 0.335 0.766
Au 0.665 0.665 0.234
CELL_PARAMETERS angstrom
6.457 -1.893 0.000
6.457 1.893 0.000
-4.162 0.000 8.288

=====

Record 11
! Tb2NdAu4 (PBE, relaxed); values from VASP
! M_tot: 0.000 μB per cell
! N(E_F): 5.0 states/eV/cell
! E_tot: -4.493 eV per atom
! SG: P4/mmm, No. 123
&SYSTEM
  ibrav = 0, nat = 7, ntyp = 3
/
ATOMIC_SPECIES
Tb 158.93 Tb.upf
Nd 144.24 Nd.upf
Au 196.97 Au.upf
ATOMIC_POSITIONS crystal
Tb 0.000 0.000 0.000
Tb 0.500 0.500 0.500
Nd 0.000 0.000 0.500
Au 0.000 0.500 0.244
Au 0.000 0.500 0.756
Au 0.500 0.000 0.244
Au 0.500 0.000 0.756
CELL_PARAMETERS angstrom
5.118 0.000 0.000
0.000 5.118 0.000
0.000 0.000 6.901

=====

Record 12
! Tb2Nd3Au2 (PBE, relaxed); values from VASP
! M_tot: 0.000 μB per cell
! N(E_F): 7.5 states/eV/cell
! E_tot: -4.754 eV per atom
! SG: C2/m, No. 12
&SYSTEM
  ibrav = 0, nat = 7, ntyp = 3
/
ATOMIC_SPECIES
Tb 158.93 Tb.upf
Nd 144.24 Nd.upf
Au 196.97 Au.upf
ATOMIC_POSITIONS crystal
Tb 0.155 0.155 0.312
Tb 0.845 0.845 0.688
Nd 0.388 0.388 0.058
Nd 0.500 0.500 0.500
Nd 0.612 0.612 0.942
Au 0.173 0.173 0.722
Au 0.827 0.827 0.278
CELL_PARAMETERS angstrom
6.395 -1.915 0.000
6.395 1.915 0.000
-3.814 0.000 8.492

=====

Record 13
! Tb2NdAu2 (PBE, relaxed); values from VASP
! M_tot: 0.000 μB per cell
! N(E_F): 4.7 states/eV/cell
! Distance to the lowest polymorph of the same formula: 147 meV/atom
! E_tot: -4.645 eV per atom
! SG: C2/m, No. 12
&SYSTEM
  ibrav = 0, nat = 5, ntyp = 3
/
ATOMIC_SPECIES
Tb 158.93 Tb.upf
Nd 144.24 Nd.upf
Au 196.97 Au.upf
ATOMIC_POSITIONS crystal
Tb 0.250 0.750 0.000
Tb 0.750 0.250 0.000
Nd 0.000 0.000 0.500
Au 0.381 0.381 0.269
Au 0.619 0.619 0.731
CELL_PARAMETERS angstrom
3.484 -3.483 0.000
3.484 3.483 0.000
-3.426 0.000 5.811

=====

Record 14
! Tb5NdAu6 (PBE, relaxed); values from VASP
! M_tot: 0.000 μB per cell
! N(E_F): 6.4 states/eV/cell
! E_tot: -4.800 eV per atom
! SG: P2/m, No. 10
&SYSTEM
  ibrav = 0, nat = 12, ntyp = 3
/
ATOMIC_SPECIES
Tb 158.93 Tb.upf
Nd 144.24 Nd.upf
Au 196.97 Au.upf
ATOMIC_POSITIONS crystal
Tb 0.000 0.000 0.000
Tb 0.332 0.500 0.666
Tb 0.333 0.000 0.668
Tb 0.667 0.000 0.332
Tb 0.668 0.500 0.334
Nd 0.000 0.500 0.000
Au 0.172 0.247 0.341
Au 0.172 0.753 0.341
Au 0.500 0.240 0.000
Au 0.500 0.760 0.000
Au 0.828 0.247 0.659
Au 0.828 0.753 0.659
CELL_PARAMETERS angstrom
5.148 0.000 0.000
0.000 7.218 0.000
-2.550 0.000 7.754

=====

Record 15
! TbNd2Au (PBE, relaxed); values from VASP
! M_tot: 0.323 μB per cell
! N(E_F): 7.0 states/eV/cell
! Distance to the lowest polymorph of the same formula: 398 meV/atom
! E_tot: -4.365 eV per atom
! SG: R-3m, No. 166
&SYSTEM
  ibrav = 0, nat = 4, ntyp = 3
/
ATOMIC_SPECIES
Tb 158.93 Tb.upf
Nd 144.24 Nd.upf
Au 196.97 Au.upf
ATOMIC_POSITIONS crystal
Tb 0.000 0.000 0.000
Nd 0.099 0.099 0.099
Nd 0.901 0.901 0.901
Au 0.500 0.500 0.500
CELL_PARAMETERS angstrom
1.790 1.033 11.368
-1.790 1.033 11.368
0.000 -2.067 11.368

=====

Record 16
! TbNdAu4 (PBE, relaxed); values from VASP
! M_tot: 0.000 μB per cell
! N(E_F): 1.7 states/eV/cell
! E_tot: -4.561 eV per atom
! SG: P4/mmm, No. 123
&SYSTEM
  ibrav = 0, nat = 6, ntyp = 3
/
ATOMIC_SPECIES
Tb 158.93 Tb.upf
Nd 144.24 Nd.upf
Au 196.97 Au.upf
ATOMIC_POSITIONS crystal
Tb 0.000 0.000 0.000
Nd 0.500 0.500 0.500
Au 0.000 0.000 0.329
Au 0.000 0.000 0.671
Au 0.500 0.500 0.161
Au 0.500 0.500 0.839
CELL_PARAMETERS angstrom
3.812 0.000 0.000
0.000 3.812 0.000
0.000 0.000 9.202

=====

Record 17
! TbNd4Au4 (PBE, relaxed); values from VASP
! M_tot: 0.000 μB per cell
! N(E_F): 17.9 states/eV/cell
! E_tot: -4.665 eV per atom
! SG: P4_2/n, No. 86
&SYSTEM
  ibrav = 0, nat = 18, ntyp = 3
/
ATOMIC_SPECIES
Tb 158.93 Tb.upf
Nd 144.24 Nd.upf
Au 196.97 Au.upf
ATOMIC_POSITIONS crystal
Tb 0.250 0.250 0.250
Tb 0.750 0.750 0.750
Nd 0.052 0.662 0.158
Nd 0.162 0.948 0.658
Nd 0.338 0.552 0.658
Nd 0.448 0.838 0.158
Nd 0.552 0.162 0.842
Nd 0.662 0.448 0.342
Nd 0.838 0.052 0.342
Nd 0.948 0.338 0.842
Au 0.028 0.636 0.647
Au 0.136 0.972 0.147
Au 0.364 0.528 0.147
Au 0.472 0.864 0.647
Au 0.528 0.136 0.353
Au 0.636 0.472 0.853
Au 0.864 0.028 0.853
Au 0.972 0.364 0.353
CELL_PARAMETERS angstrom
9.247 0.000 0.000
0.000 9.247 0.000
0.000 0.000 6.216

=====

Record 18
! TbNd2Au (PBE, relaxed); values from VASP
! M_tot: 0.002 μB per cell
! N(E_F): 5.2 states/eV/cell
! Distance to the lowest polymorph of the same formula: 168 meV/atom
! E_tot: -4.595 eV per atom
! SG: R3m, No. 160
&SYSTEM
  ibrav = 0, nat = 4, ntyp = 3
/
ATOMIC_SPECIES
Tb 158.93 Tb.upf
Nd 144.24 Nd.upf
Au 196.97 Au.upf
ATOMIC_POSITIONS crystal
Tb 0.000 0.000 0.000
Nd 0.572 0.572 0.572
Nd 0.762 0.762 0.762
Au 0.167 0.167 0.167
CELL_PARAMETERS angstrom
1.892 1.092 10.155
-1.892 1.092 10.155
0.000 -2.185 10.155

=====

Record 19
! Tb3Nd3Au4 (PBE, relaxed); values from VASP
! M_tot: 0.000 μB per cell
! N(E_F): 10.3 states/eV/cell
! E_tot: -4.789 eV per atom
! SG: Amm2, No. 38
&SYSTEM
  ibrav = 0, nat = 10, ntyp = 3
/
ATOMIC_SPECIES
Tb 158.93 Tb.upf
Nd 144.24 Nd.upf
Au 196.97 Au.upf
ATOMIC_POSITIONS crystal
Tb 0.000 0.000 0.000
Tb 0.500 0.172 0.669
Tb 0.500 0.669 0.172
Nd 0.000 0.329 0.329
Nd 0.000 0.506 0.837
Nd 0.000 0.837 0.506
Au 0.500 0.032 0.290
Au 0.500 0.290 0.032
Au 0.500 0.538 0.538
Au 0.500 0.803 0.803
CELL_PARAMETERS angstrom
3.894 0.000 0.000
0.000 5.928 5.826
0.000 -5.928 5.826

=====

Record 20
! TbNdAu2 (PBE, relaxed); values from VASP
! M_tot: 0.000 μB per cell
! N(E_F): 3.9 states/eV/cell
! E_tot: -4.679 eV per atom
! SG: R-3m, No. 166
&SYSTEM
  ibrav = 0, nat = 4, ntyp = 3
/
ATOMIC_SPECIES
Tb 158.93 Tb.upf
Nd 144.24 Nd.upf
Au 196.97 Au.upf
ATOMIC_POSITIONS crystal
Tb 0.000 0.000 0.000
Nd 0.500 0.500 0.500
Au 0.255 0.255 0.255
Au 0.745 0.745 0.745
CELL_PARAMETERS angstrom
2.173 1.254 6.788
-2.173 1.254 6.788
0.000 -2.509 6.788

=====

Record 21
! TbNdAu2 (PBE, relaxed); values from VASP
! M_tot: 0.000 μB per cell
! N(E_F): 2.0 states/eV/cell
! E_tot: -4.800 eV per atom
! SG: P4/mmm, No. 123
&SYSTEM
  ibrav = 0, nat = 4, ntyp = 3
/
ATOMIC_SPECIES
Tb 158.93 Tb.upf
Nd 144.24 Nd.upf
Au 196.97 Au.upf
ATOMIC_POSITIONS crystal
Tb 0.000 0.000 0.000
Nd 0.000 0.000 0.500
Au 0.500 0.500 0.231
Au 0.500 0.500 0.769
CELL_PARAMETERS angstrom
3.639 0.000 0.000
0.000 3.639 0.000
0.000 0.000 7.430

=====

Record 22
! TbNd2Au (PBE, relaxed); values from VASP
! M_tot: 0.000 μB per cell
! N(E_F): 6.1 states/eV/cell
! Distance to the lowest polymorph of the same formula: 58 meV/atom
! E_tot: -4.705 eV per atom
! SG: P4/mmm, No. 123
&SYSTEM
  ibrav = 0, nat = 4, ntyp = 3
/
ATOMIC_SPECIES
Tb 158.93 Tb.upf
Nd 144.24 Nd.upf
Au 196.97 Au.upf
ATOMIC_POSITIONS crystal
Tb 0.000 0.000 0.000
Nd 0.500 0.500 0.288
Nd 0.500 0.500 0.712
Au 0.000 0.000 0.500
CELL_PARAMETERS angstrom
3.736 0.000 0.000
0.000 3.736 0.000
0.000 0.000 8.570

=====

Record 23
! TbNd2Au4 (PBE, relaxed); values from VASP
! M_tot: 0.000 μB per cell
! N(E_F): 5.5 states/eV/cell
! Distance to the lowest polymorph of the same formula: 362 meV/atom
! E_tot: -4.202 eV per atom
! SG: I4/mmm, No. 139
&SYSTEM
  ibrav = 0, nat = 7, ntyp = 3
/
ATOMIC_SPECIES
Tb 158.93 Tb.upf
Nd 144.24 Nd.upf
Au 196.97 Au.upf
ATOMIC_POSITIONS crystal
Tb 0.000 0.000 0.000
Nd 0.379 0.379 0.000
Nd 0.621 0.621 0.000
Au 0.000 0.500 0.500
Au 0.186 0.186 0.000
Au 0.500 0.000 0.500
Au 0.814 0.814 0.000
CELL_PARAMETERS angstrom
-2.671 2.671 7.576
2.671 -2.671 7.576
2.671 2.671 -7.576

=====

Record 24
! Tb2NdAu2 (PBE, relaxed); values from VASP
! M_tot: 0.000 μB per cell
! N(E_F): 10.6 states/eV/cell
! Distance to the lowest polymorph of the same formula: 0 meV/atom
! E_tot: -4.792 eV per atom
! SG: P4/mbm, No. 127
&SYSTEM
  ibrav = 0, nat = 10, ntyp = 3
/
ATOMIC_SPECIES
Tb 158.93 Tb.upf
Nd 144.24 Nd.upf
Au 196.97 Au.upf
ATOMIC_POSITIONS crystal
Tb 0.162 0.338 0.000
Tb 0.338 0.838 0.000
Tb 0.662 0.162 0.000
Tb 0.838 0.662 0.000
Nd 0.000 0.000 0.500
Nd 0.500 0.500 0.500
Au 0.130 0.630 0.500
Au 0.370 0.130 0.500
Au 0.630 0.870 0.500
Au 0.870 0.370 0.500
CELL_PARAMETERS angstrom
8.294 0.000 0.000
0.000 8.294 0.000
0.000 0.000 3.821

=====

Record 25
! TbNd2Au (PBE, relaxed); values from VASP
! M_tot: 0.000 μB per cell
! N(E_F): 9.3 states/eV/cell
! Distance to the lowest polymorph of the same formula: 0 meV/atom
! E_tot: -4.763 eV per atom
! SG: Cmcm, No. 63
&SYSTEM
  ibrav = 0, nat = 8, ntyp = 3
/
ATOMIC_SPECIES
Tb 158.93 Tb.upf
Nd 144.24 Nd.upf
Au 196.97 Au.upf
ATOMIC_POSITIONS crystal
Tb 0.065 0.935 0.750
Tb 0.935 0.065 0.250
Nd 0.367 0.633 0.552
Nd 0.367 0.633 0.948
Nd 0.633 0.367 0.052
Nd 0.633 0.367 0.448
Au 0.242 0.758 0.250
Au 0.758 0.242 0.750
CELL_PARAMETERS angstrom
1.903 -6.184 0.000
1.903 6.184 0.000
0.000 0.000 10.127

=====

no.,energy of formation (meV per atom)
1,-753
2,-371
3,-772
4,-495
5,-748
6,-496
7,-558
8,-660
9,-825
10,-493
11,-617
12,-451
13,-529
14,-834
15,-4
16,-810
17,-574
18,-234
19,-659
20,-691
21,-812
22,-344
23,-305
24,-676
25,-402